Record 1
VASP calculation (PBE-GGA) on an optimized crystal structure of NaSn3Ir.

The structure in CIF format:
```
data_NaSn3Ir
_chemical_formula_sum 'Na1 Sn3 Ir1'
_space_group_name_H-M_alt 'P m -3 m'
_space_group_IT_number 221
_space_group_name_Hall '-P 4 2 3'
_cell_length_a 5.134
_cell_length_b 5.134
_cell_length_c 5.134
_cell_angle_alpha 90.00
_cell_angle_beta 90.00
_cell_angle_gamma 90.00
loop_
_atom_site_label
_atom_site_type_symbol
_atom_site_fract_x
_atom_site_fract_y
_atom_site_fract_z
Na1 Na 0.000 0.000 0.000
Sn1 Sn 0.000 0.000 0.500
Ir1 Ir 0.500 0.500 0.500
```

## Properties
Offset from the most stable computed form in eV/atom: 1.5655


Record 2
VASP calculation (PBE-GGA) on an optimized crystal structure of NaSn3Ir3.

The structure in CIF format:
```
data_NaSn3Ir3
_chemical_formula_sum 'Na2 Sn6 Ir6'
_space_group_name_H-M_alt 'P m -3 n'
_space_group_IT_number 223
_space_group_name_Hall '-P 4n 2 3'
_cell_length_a 7.308
_cell_length_b 7.308
_cell_length_c 7.308
_cell_angle_alpha 90.00
_cell_angle_beta 90.00
_cell_angle_gamma 90.00
loop_
_atom_site_label
_atom_site_type_symbol
_atom_site_fract_x
_atom_site_fract_y
_atom_site_fract_z
Na1 Na 0.000 0.000 0.000
Sn1 Sn 0.000 0.250 0.500
Ir1 Ir 0.000 0.500 0.250
```

## Properties
Electronic total energy in eV per cell: -76.22


Record 3
VASP calculation (PBE-GGA) on an optimized crystal structure of NaSn2Ir2.

The structure in CIF format:
```
data_NaSn2Ir2
_chemical_formula_sum 'Na2 Sn4 Ir4'
_space_group_name_H-M_alt 'I 4/m m m'
_space_group_IT_number 139
_space_group_name_Hall '-I 4 2'
_cell_length_a 4.566
_cell_length_b 4.566
_cell_length_c 10.585
_cell_angle_alpha 90.00
_cell_angle_beta 90.00
_cell_angle_gamma 90.00
loop_
_atom_site_label
_atom_site_type_symbol
_atom_site_fract_x
_atom_site_fract_y
_atom_site_fract_z
Na1 Na 0.000 0.000 0.000
Sn1 Sn 0.000 0.500 0.250
Ir1 Ir 0.000 0.000 0.384
```

## Properties
Offset from the most stable computed form in eV/atom: 0.0861


Record 4
VASP calculation (PBE-GGA) on an optimized crystal structure of Na2SnIr2.

The structure in CIF format:
```
data_Na2SnIr2
_chemical_formula_sum 'Na4 Sn2 Ir4'
_space_group_name_H-M_alt 'P 4/m b m'
_space_group_IT_number 127
_space_group_name_Hall '-P 4 2ab'
_cell_length_a 6.622
_cell_length_b 6.622
_cell_length_c 4.925
_cell_angle_alpha 90.00
_cell_angle_beta 90.00
_cell_angle_gamma 90.00
loop_
_atom_site_label
_atom_site_type_symbol
_atom_site_fract_x
_atom_site_fract_y
_atom_site_fract_z
Na1 Na 0.166 0.334 0.000
Sn1 Sn 0.000 0.000 0.500
Ir1 Ir 0.131 0.631 0.500
```

## Properties
Electronic total energy in eV per cell: -48.00


Number 1: total magnetization 0.0 μB/cell. Number 2: total magnetization 0.0 μB/cell. Number 3: total magnetization 0.0 μB/cell. Number 4: total magnetization 0.0 μB/cell.